VASP calculation (PBE) on crystalline PmSc4Te6 at its relaxed geometry.

Cell and atoms, written as POSCAR:
```
PmSc4Te6
1.0
2.0826 -6.8603 0.0000
2.0826 6.8603 0.0000
0.0000 0.0000 21.4355
Pm Sc Te
2 8 12
Direct
0.1512 0.8488 0.7500
0.8488 0.1512 0.2500
0.0931 0.9069 0.1228
0.0931 0.9069 0.3772
0.3538 0.6462 0.0339
0.3538 0.6462 0.4661
0.6462 0.3538 0.5339
0.6462 0.3538 0.9661
0.9069 0.0931 0.6228
0.9069 0.0931 0.8772
0.0000 0.0000 0.0000
0.0000 0.0000 0.5000
0.1769 0.8231 0.2500
0.2650 0.7350 0.5920
0.2650 0.7350 0.9080
0.4522 0.5478 0.1585
0.4522 0.5478 0.3415
0.5478 0.4522 0.6585
0.5478 0.4522 0.8415
0.7350 0.2650 0.0920
0.7350 0.2650 0.4080
0.8231 0.1769 0.7500
```

Properties
Formation energy (no corrections) ... -28.51 kcal/mol of atoms
SG ... Cmcm

VASP calculation (PBE) on crystalline CaLaSmHg at its relaxed geometry.

Cell and atoms, written as POSCAR:
```
CaLaSmHg
1.0
3.7100 0.0000 0.0000
0.0000 3.7100 0.0000
0.0000 0.0000 9.5031
Ca La Sm Hg
1 1 1 1
Direct
0.0000 0.0000 0.0000
0.5000 0.5000 0.3189
0.0000 0.0000 0.5880
0.5000 0.5000 0.7929
```

Properties
Offset from the most stable computed form ... 0 meV per atom
SG ... P4mm

VASP calculation (PBE) on crystalline CeErTlAg at its relaxed geometry.

Cell and atoms, written as POSCAR:
```
CeErTlAg
1.0
0.0000 3.7665 3.7665
3.7665 0.0000 3.7665
3.7665 3.7665 0.0000
Ce Er Tl Ag
1 1 1 1
Direct
0.0000 0.0000 0.0000
0.5000 0.5000 0.5000
0.2500 0.2500 0.2500
0.7500 0.7500 0.7500
```

Properties
SG ... F-43m

VASP calculation (PBE) on crystalline PrSm2Cu3 at its relaxed geometry.

Cell and atoms, written as POSCAR:
```
PrSm2Cu3
1.0
2.5368 -7.6010 0.0000
2.5368 7.6010 0.0000
0.0000 0.0000 7.0931
Pr Sm Cu
2 4 6
Direct
0.1656 0.8344 0.0000
0.8344 0.1656 0.0000
0.1673 0.8327 0.5000
0.5000 0.5000 0.0000
0.5000 0.5000 0.5000
0.8327 0.1673 0.5000
0.0000 0.0000 0.2568
0.0000 0.0000 0.7432
0.3352 0.6648 0.2590
0.3352 0.6648 0.7410
0.6648 0.3352 0.2590
0.6648 0.3352 0.7410
```

Properties
Offset from the most stable computed form ... 4 meV per atom
SG ... Cmmm

VASP calculation (PBE) on crystalline AcMgP2Pd2 at its relaxed geometry.

Cell and atoms, written as POSCAR:
```
AcMgP2Pd2
1.0
4.2198 0.0000 0.0000
-2.1099 3.6545 0.0000
0.0000 0.0000 7.5058
Ac Mg P Pd
1 1 2 2
Direct
0.0000 0.0000 0.0000
0.0000 0.0000 0.5000
0.3333 0.6667 0.7306
0.6667 0.3333 0.2694
0.3333 0.6667 0.3158
0.6667 0.3333 0.6842
```

Properties
SG ... P-3m1

VASP calculation (PBE) on crystalline DyMnSe2 at its relaxed geometry.

Cell and atoms, written as POSCAR:
```
DyMnSe2
1.0
1.9699 1.1373 5.6068
-1.9699 1.1373 5.6068
0.0000 -2.2747 5.6068
Dy Mn Se
1 1 2
Direct
0.0000 0.0000 0.0000
0.5000 0.5000 0.5000
0.2316 0.2316 0.2316
0.7684 0.7684 0.7684
```

Properties
Formation energy (no corrections) ... -17.76 kcal/mol of atoms
SG ... R-3m

VASP calculation (PBE) on crystalline Mg4Si7 at its relaxed geometry.

Cell and atoms, written as POSCAR:
```
Mg4Si7
1.0
3.9359 0.0000 0.0000
-0.0091 6.9732 0.0000
-1.9341 -0.5474 14.6478
Mg Si
8 14
Direct
0.0000 0.0000 0.0000
0.0375 0.4890 0.0771
0.1073 0.8811 0.2234
0.1495 0.3837 0.3091
0.3608 0.4488 0.7203
0.4119 0.9813 0.8257
0.5727 0.1887 0.1522
0.7591 0.3937 0.5205
0.2084 0.0493 0.4345
0.2142 0.6821 0.4457
0.2972 0.1248 0.5957
0.3030 0.7663 0.6071
0.4741 0.6445 0.9472
0.4835 0.2867 0.9649
0.5458 0.8058 0.0935
0.6016 0.5691 0.2098
0.6615 0.0982 0.3390
0.6694 0.7452 0.3550
0.8487 0.1433 0.6972
0.8510 0.7875 0.7026
0.9259 0.6419 0.8503
0.9287 0.2876 0.8537
```

Properties
Offset from the most stable computed form ... 18 meV per atom
Formation energy (no corrections) ... 2.63 kcal/mol of atoms
SG ... P1

VASP calculation (PBE) on crystalline La8Nd5Pb at its relaxed geometry.

Cell and atoms, written as POSCAR:
```
La8Nd5Pb
1.0
8.0217 -4.2630 0.0000
8.0217 4.2630 0.0000
-4.7415 0.0000 7.3924
La Nd Pb
8 5 1
Direct
0.0727 0.5638 0.0739
0.1198 0.1198 0.2017
0.3778 0.2251 0.7258
0.4362 0.9273 0.9261
0.5807 0.0846 0.4154
0.7749 0.6222 0.2742
0.8802 0.8802 0.7983
0.9154 0.4193 0.5846
0.0189 0.9811 0.5000
0.2542 0.5461 0.5303
0.4539 0.7458 0.4697
0.6244 0.2764 0.1811
0.7236 0.3756 0.8189
0.3468 0.6532 0.0000
```

Properties
SG ... C2

| no. | E (eV/atom) |
| --- | --- |
| 1 | -5.68 |
| 2 | -3.23 |
| 3 | -4.14 |
| 4 | -4.58 |
| 5 | -5.41 |
| 6 | -5.96 |
| 7 | -3.92 |
| 8 | -4.74 |